1.
DFT (PBE-GGA) results for an optimized crystal structure of EuAlSn2.

Unit cell a=4.5439 b=4.6811 c=4.6811 alpha=90.00 beta=90.00 gamma=90.00
Last column: magnetic moment on the atom in μB.
Element x y z (fractional)
Eu  0.5000  0.0000  0.0000  6.72
Sn  0.0000  0.0000  0.5000  -0.02
Sn  0.0000  0.5000  0.0000  -0.02
Al  0.5000  0.5000  0.5000  -0.01

density = 6.9 Mg/m³
crystal system = tetragonal



2.
DFT (PBE-GGA) results for an optimized crystal structure of EuAlSn2.

Unit cell a=4.8147 b=4.8147 c=6.0873 alpha=66.70 beta=66.70 gamma=60.00
Last column: magnetic moment on the atom in μB.
Element x y z (fractional)
Eu  0.5000  0.5000  0.5000  6.83
Sn  0.2795  0.2795  0.1616  -0.01
Sn  0.7205  0.7205  0.8384  -0.01
Al  0.0000  0.0000  0.0000  -0.01

density = 6.4 Mg/m³
crystal system = trigonal



3.
DFT (PBE-GGA) results for an optimized crystal structure of EuAlSn.

Unit cell a=3.2420 b=3.2420 c=8.5867 alpha=100.88 beta=100.88 gamma=90.00
Last column: magnetic moment on the atom in μB.
Element x y z (fractional)
Eu  0.7713  0.7713  0.5426  7.02
Sn  0.1221  0.1221  0.2443  -0.03
Al  0.9566  0.9566  0.9131  -0.01

density = 5.7 Mg/m³
crystal system = tetragonal



4.
DFT (PBE-GGA) results for an optimized crystal structure of SrEuAlSn.

Unit cell a=5.5610 b=5.5610 c=5.5610 alpha=60.00 beta=60.00 gamma=60.00
Last column: magnetic moment on the atom in μB.
Element x y z (fractional)
Eu  0.2500  0.2500  0.2500  6.84
Sr  0.7500  0.7500  0.7500  0.00
Sn  0.5000  0.5000  0.5000  -0.03
Al  0.0000  0.0000  0.0000  0.01

density = 5.3 Mg/m³
crystal system = cubic



no.,raw total energy (eV/atom)
1,-5.87
2,-5.77
3,-5.89
4,-5.30